No. 1
The following is a PBE-GGA calculation of an optimized crystal structure of PrAl4Cd, from Alexandria via LeMat-Bulk.

Lattice parameters (Å, degrees): 5.6318 5.6318 5.6318 60.00 60.00 60.00
Closest atoms and distances in Å follow each position.
Fractional positions:
Pr  0.0000  0.0000  0.0000  12 Al 3.30, 4 Cd 3.45
Al  0.3743  0.3743  0.3743  6 Al 2.80-2.83
Al  0.3743  0.3743  0.8770  6 Al 2.80-2.83
Al  0.3743  0.8770  0.3743  6 Al 2.80-2.83
Al  0.8770  0.3743  0.3743  6 Al 2.80-2.83
Cd  0.7500  0.7500  0.7500  12 Al 3.30, 4 Pr 3.45

Total energy, Ry per atom: -0.2640
Calculated formation energy, eV/atom: -0.15
Magnetic moment, Bohr magnetons per cell: 0.000



No. 2
The following is a PBE-GGA calculation of an optimized crystal structure of Pr3Al4Cd2, from Alexandria via LeMat-Bulk.

Lattice parameters (Å, degrees): 6.0966 6.0966 9.0293 110.14 110.14 45.57
Closest atoms and distances in Å follow each position.
Fractional positions:
Pr  0.0000  0.0000  0.0000  8 Al 3.27-3.39, 4 Cd 3.36
Pr  0.3358  0.3358  0.3304  8 Al 3.29-3.42, 4 Cd 3.32-3.35
Pr  0.6642  0.6642  0.6696  8 Al 3.29-3.42, 4 Cd 3.32-3.35
Al  0.0526  0.0526  0.3900  1 Al 2.66, 2 Cd 2.75
Al  0.2704  0.2704  0.9419  2 Al 2.69, 1 Cd 2.76
Al  0.7296  0.7296  0.0581  2 Al 2.69, 1 Cd 2.76
Al  0.9474  0.9474  0.6100  1 Al 2.66, 2 Cd 2.75
Cd  0.3829  0.3829  0.7173  3 Al 2.75-2.76
Cd  0.6171  0.6171  0.2827  3 Al 2.75-2.76

Total energy, Ry per atom: -0.2840
Calculated formation energy, eV/atom: -0.40
Magnetic moment, Bohr magnetons per cell: 0.000



No. 3
The following is a PBE-GGA calculation of an optimized crystal structure of Pr3Al8Cd, from Alexandria via LeMat-Bulk.

Lattice parameters (Å, degrees): 9.7873 9.7873 9.7873 33.77 33.77 33.77
Closest atoms and distances in Å follow each position.
Fractional positions:
Pr  0.0000  0.0000  0.0000  12 Al 3.25-3.39, 3 Cd 3.43, 1 Pr 3.60
Pr  0.1300  0.1300  0.1300  12 Al 3.26-3.34, 4 Pr 3.52-3.60
Pr  0.5097  0.5097  0.5097  12 Al 3.24-3.45, 1 Cd 3.36, 3 Pr 3.52
Al  0.0676  0.0676  0.5615  6 Al 2.81-2.88
Al  0.0676  0.5615  0.0676  6 Al 2.81-2.88
Al  0.0686  0.5655  0.5655  6 Al 2.82-2.86
Al  0.3161  0.3161  0.3161  6 Al 2.83
Al  0.5615  0.0676  0.0676  6 Al 2.81-2.88
Al  0.5655  0.0686  0.5655  6 Al 2.82-2.86
Al  0.5655  0.5655  0.0686  6 Al 2.82-2.86
Al  0.8166  0.8166  0.8166  6 Al 2.82-2.84
Cd  0.6312  0.6312  0.6312  12 Al 3.27-3.37, 4 Pr 3.36-3.43

Total energy, Ry per atom: -0.3015
Calculated formation energy, eV/atom: -0.34
Magnetic moment, Bohr magnetons per cell: 0.000



No. 4
The following is a PBE-GGA calculation of an optimized crystal structure of Pr8Al2Cd, from Alexandria via LeMat-Bulk.

Lattice parameters (Å, degrees): 9.3231 9.3231 7.9652 107.46 107.46 31.63
Closest atoms and distances in Å follow each position.
Fractional positions:
Pr  0.0370  0.0370  0.2428  1 Al 3.22, 2 Cd 3.46, 4 Pr 3.50-3.56
Pr  0.1790  0.1790  0.7637  3 Al 3.21-3.22, 3 Pr 3.49-3.50
Pr  0.3285  0.3285  0.5685  3 Al 3.18-3.40, 1 Cd 3.29, 3 Pr 3.49-3.50
Pr  0.3992  0.3992  0.0402  2 Al 3.33, 5 Pr 3.50-3.57, 1 Cd 3.54
Pr  0.6008  0.6008  0.9598  2 Al 3.33, 5 Pr 3.50-3.57, 1 Cd 3.54
Pr  0.6715  0.6715  0.4315  3 Al 3.18-3.40, 1 Cd 3.29, 3 Pr 3.49-3.50
Pr  0.8210  0.8210  0.2363  3 Al 3.21-3.22, 3 Pr 3.49-3.50
Pr  0.9630  0.9630  0.7572  1 Al 3.22, 2 Cd 3.46, 4 Pr 3.50-3.56
Al  0.2061  0.2061  0.1820  9 Pr 3.18-3.40
Al  0.7939  0.7939  0.8180  9 Pr 3.18-3.40
Cd  0.5000  0.5000  0.5000  8 Pr 3.29-3.54

Total energy, Ry per atom: -0.3228
Calculated formation energy, eV/atom: -0.15
Magnetic moment, Bohr magnetons per cell: 0.000